VASP calculation (PBE) on a relaxed Tl2CrSn crystal.

The space group is I-42d (No. 122) and the conventional cell measures 10.4710, 10.4710 and 5.1080 Å, with angles of 90.00, 90.00 and 90.00 degrees. The distinct sites, in fractional coordinates, are Tl at (0.0020, 0.7500, 0.1250), Cr at (0.0000, 0.0000, 0.0000) and Sn at (0.0000, 0.0000, 0.5000).

The value obtained for the relative energy among the computed polymorphs is 0.067 eV/atom. The formation energy is 0.52 eV per atom.